Entry 1:
Entry from Alexandria: a geometry-optimized ScRe2Ir structure (GGA-PBEsol).

```
ScRe2Ir
1.0
2.815 0.000 0.000
0.000 2.815 0.000
0.000 0.000 7.846
Sc Re Ir
1 2 1
Cartesian
0.000 0.000 0.000 Sc
0.000 0.000 3.855 Re
1.408 1.408 5.682 Re
1.408 1.408 2.067 Ir
```

## Properties
The value obtained for the formation enthalpy at 0 K is -0.13 eV per atom. For the relative energy among the computed polymorphs, the calculation gives 0 meV per atom.

***

Entry 2:
Entry from Alexandria: a geometry-optimized LaMg2Ru structure (GGA-PBEsol).

```
LaMg2Ru
1.0
-1.648 2.423 5.520
1.648 -2.423 5.520
1.648 2.423 -5.520
La Mg Ru
1 2 1
Cartesian
0.000 0.000 0.000 La
1.648 0.000 3.290 Mg
0.000 2.423 2.230 Mg
0.000 0.000 5.520 Ru
```

## Properties
The value obtained for the formation enthalpy at 0 K is -0.04 eV per atom.

***

- The highest formation enthalpy at 0 K belongs to which entry?
  LaMg2Ru

***

- Which of these has the lowest formation enthalpy at 0 K?
  ScRe2Ir

***

- Which formula does entry 1 have?
  ScRe2Ir

***

- Which of these has the lowest formation enthalpy at 0 K?
  ScRe2Ir